Entry 1:
18
Lattice="4.686 0.000 0.000 0.000 9.252 -5.342 0.000 0.000 10.683" Properties=species:S:1:pos:R:3 comment="BaCd3Ag2 (PBE, relaxed)" density_g_cm3=7.43 de_polymorph_mev_per_atom=0.0 e_tot_ev_per_atom=-1.958 pbc="T T T"
Ba 2.343 0.000 0.000
Ba 0.000 6.168 0.000
Ba 0.000 3.084 5.342
Cd 2.343 4.626 2.671
Cd 2.343 0.000 5.342
Cd 2.343 4.626 -2.671
Cd 0.000 6.475 3.739
Cd 0.000 0.000 3.206
Cd 0.000 2.777 -1.603
Cd 0.000 2.777 1.603
Cd 0.000 0.000 7.477
Cd 0.000 6.475 -3.739
Ag 2.343 7.515 -2.333
Ag 2.343 3.474 0.000
Ag 2.343 7.515 2.333
Ag 2.343 1.737 7.675
Ag 2.343 5.778 5.342
Ag 2.343 1.737 3.009


Entry 2:
18
Lattice="8.947 0.000 0.000 4.474 7.749 0.000 4.474 2.583 7.306" Properties=species:S:1:pos:R:3 comment="BaCd2Ag6 (PBE, relaxed)" density_g_cm3=6.62 e_tot_ev_per_atom=-2.073 pbc="T T T"
Ba 8.947 5.166 3.653
Ba 13.421 7.749 5.479
Cd 2.237 1.291 0.913
Cd 4.474 5.166 0.913
Cd 4.474 2.583 4.566
Cd 6.711 1.291 0.913
Ag 6.690 3.862 5.496
Ag 11.205 6.469 1.810
Ag 6.690 6.469 1.810
Ag 8.947 7.773 5.496
Ag 6.690 3.862 0.017
Ag 4.474 0.024 0.017
Ag 11.205 3.862 5.496
Ag 2.258 1.303 3.636
Ag 6.690 1.303 3.636
Ag 4.474 5.142 3.636
Ag 8.947 2.559 1.810
Ag 2.258 3.862 0.017


Entry 3:
10
Lattice="4.975 0.000 -2.750 -2.652 8.037 -4.797 0.854 -1.178 7.419" Properties=species:S:1:pos:R:3 comment="BaCdAg3 (PBE, relaxed)" density_g_cm3=6.83 de_polymorph_mev_per_atom=5.1 e_tot_ev_per_atom=-2.427 pbc="T T T"
Ba 0.880 1.808 1.591
Ba 2.297 5.051 -1.720
Cd -1.326 4.019 -2.399
Cd 2.487 0.000 -1.375
Ag 3.856 0.739 4.038
Ag 1.369 0.739 5.414
Ag 1.807 6.120 -5.542
Ag -0.680 6.120 -4.167
Ag -0.760 6.778 -1.375
Ag 3.937 0.082 1.247


Entry 4:
16
Lattice="-5.477 -5.911 -4.233 6.762 -6.089 -0.245 -3.090 2.985 9.616" Properties=species:S:1:pos:R:3 comment="Ba5CdAg2 (PBE, relaxed)" density_g_cm3=4.88 e_tot_ev_per_atom=-2.249 pbc="T T T"
Ba -0.451 -5.179 4.499
Ba 1.259 -9.865 -0.957
Ba 0.000 0.000 0.000
Ba 0.643 -6.000 -2.239
Ba -3.064 0.850 6.095
Ba -4.714 -3.087 3.939
Ba 1.199 -1.243 6.655
Ba 2.909 -5.928 1.198
Ba -3.004 -7.772 -1.517
Ba -1.354 -3.836 0.639
Cd -0.581 -7.508 1.449
Cd -1.224 -1.507 3.688
Ag 1.939 -3.024 -0.592
Ag -2.587 -4.369 -2.644
Ag 3.872 -7.631 -1.834
Ag -0.654 -8.977 -3.886


Entry 5:
4
Lattice="-1.365 -4.117 2.329 3.239 -3.653 0.634 2.177 -0.394 5.807" Properties=species:S:1:pos:R:3 comment="BaCdAg2 (PBE, relaxed)" density_g_cm3=6.67 e_tot_ev_per_atom=-2.380 pbc="T T T"
Ba 1.013 -2.041 2.192
Ag 1.951 -0.714 5.104
Ag 2.251 -3.762 5.087
Cd 3.038 -6.123 6.577


Entry 6:
7
Lattice="5.337 0.000 0.000 0.000 5.337 0.000 2.668 2.668 8.919" Properties=species:S:1:pos:R:3 comment="Ba2Cd4Ag (PBE, relaxed)" density_g_cm3=5.44 e_tot_ev_per_atom=-1.582 pbc="T T T"
Ba 5.337 5.337 6.351
Ba 2.668 2.668 2.568
Ag 0.000 0.000 0.000
Cd 5.337 5.337 2.794
Cd 2.668 2.668 6.125
Cd 0.000 2.668 0.000
Cd 2.668 0.000 0.000